(1)
Below is a geometry-optimized ZnCr2In structure, with properties calculated at the GGA-PBE level.

a = 2.815 Å, b = 2.815 Å, c = 8.836 Å
α = 90.00°, β = 90.00°, γ = 116.28°
Element x y z (fractional)
Cr1 0.500 0.500 0.209
Cr2 0.000 0.000 0.024
Zn1 0.500 0.500 0.781
In1 0.000 0.000 0.485

Calculated values
For the total energy, the calculation gives -5.42 eV per atom. For the total magnetic moment, the calculation gives 0.0 μB/cell. The value obtained for the density of states at the Fermi level is 2.8 states/eV/f.u. The value obtained for the energy of formation is 9.14 kcal/mol of atoms.

(2)
Below is a geometry-optimized CaLaTh structure, with properties calculated at the GGA-PBE level.

a = 3.672 Å, b = 3.672 Å, c = 16.256 Å
α = 90.00°, β = 90.00°, γ = 90.00°
Element x y z (fractional)
Ca1 0.500 0.000 0.091
Ca2 0.000 0.500 0.909
La1 0.000 0.500 0.274
La2 0.500 0.000 0.726
Th1 0.000 0.500 0.573
Th2 0.500 0.000 0.427

Calculated values
For the total energy, the calculation gives -4.76 eV per atom. For the total magnetic moment, the calculation gives 0.0 μB/cell. The value obtained for the density of states at the Fermi level is 4.5 states/eV/f.u. The value obtained for the energy of formation is 0.59 kcal/mol of atoms. As for the energy relative to the lowest polymorph listed for this composition: 0.0000 eV per atom.

(3)
Below is a geometry-optimized SrY2Rh structure, with properties calculated at the GGA-PBE level.

a = 3.561 Å, b = 3.557 Å, c = 10.290 Å
α = 69.87°, β = 90.00°, γ = 90.00°
Element x y z (fractional)
Sr1 0.500 0.750 0.750
Y1 0.000 0.915 0.085
Y2 0.000 0.585 0.415
Rh1 0.500 0.250 0.250

Calculated values
For the total energy, the calculation gives -5.83 eV per atom. For the total magnetic moment, the calculation gives 0.0 μB/cell. The value obtained for the density of states at the Fermi level is 3.5 states/eV/f.u. The value obtained for the energy of formation is -7.73 kcal/mol of atoms. As for the energy relative to the lowest polymorph listed for this composition: 0.0115 eV per atom.

(4)
Below is a geometry-optimized NaThGe2Pt5 structure, with properties calculated at the GGA-PBE level.

a = 4.245 Å, b = 4.245 Å, c = 9.449 Å
α = 90.00°, β = 90.00°, γ = 90.00°
Element x y z (fractional)
Pt1 0.500 0.500 0.500
Pt2 0.500 0.000 0.726
Pt3 0.000 0.500 0.274
Pt4 0.000 0.500 0.726
Pt5 0.500 0.000 0.274
Ge1 0.500 0.500 0.868
Ge2 0.500 0.500 0.132
Na1 0.000 0.000 0.000
Th1 0.000 0.000 0.500

Calculated values
For the total energy, the calculation gives -6.12 eV per atom. For the total magnetic moment, the calculation gives 0.0 μB/cell. The value obtained for the density of states at the Fermi level is 4.1 states/eV/f.u. The value obtained for the energy of formation is -17.74 kcal/mol of atoms.

(5)
Below is a geometry-optimized CsNaAcCl5 structure, with properties calculated at the GGA-PBE level.

a = 8.243 Å, b = 8.243 Å, c = 10.936 Å
α = 102.74°, β = 102.74°, γ = 108.93°
Element x y z (fractional)
Na1 0.687 0.313 0.250
Na2 0.313 0.687 0.750
Cl1 0.633 0.747 0.924
Cl2 0.253 0.367 0.576
Cl3 0.298 0.904 0.599
Cl4 0.076 0.924 0.250
Cl5 0.924 0.076 0.750
Cl6 0.747 0.633 0.424
Cl7 0.904 0.298 0.099
Cl8 0.367 0.253 0.076
Cl9 0.096 0.702 0.901
Cl10 0.702 0.096 0.401
Cs1 0.661 0.339 0.750
Cs2 0.339 0.661 0.250
Ac1 0.000 0.000 0.000
Ac2 0.000 0.000 0.500

Calculated values
For the total energy, the calculation gives -4.10 eV per atom. For the total magnetic moment, the calculation gives 0.0 μB/cell. The value obtained for the density of states at the Fermi level is 0.0 states/eV/f.u. Its formation energy without anion corrections is -1668 kJ/mol of formula units.

(6)
Below is a geometry-optimized Nd6As3P2I structure, with properties calculated at the GGA-PBE level.

a = 4.259 Å, b = 8.627 Å, c = 9.531 Å
α = 102.43°, β = 102.91°, γ = 90.00°
Element x y z (fractional)
As1 0.162 0.835 0.323
As2 0.838 0.165 0.677
As3 0.500 0.500 0.000
Nd1 0.669 0.579 0.338
Nd2 0.995 0.720 0.990
Nd3 0.322 0.901 0.644
Nd4 0.678 0.099 0.356
Nd5 0.005 0.280 0.010
Nd6 0.331 0.421 0.662
I1 0.500 0.000 0.000
P1 0.168 0.333 0.335
P2 0.832 0.667 0.665

Calculated values
For the total energy, the calculation gives -6.03 eV per atom. For the total magnetic moment, the calculation gives 0.0 μB/cell. The value obtained for the density of states at the Fermi level is 4.0 states/eV/f.u. Its formation energy without anion corrections is -1683 kJ/mol of formula units.

(7)
Below is a geometry-optimized CeSi2IrOs structure, with properties calculated at the GGA-PBE level.

a = 4.165 Å, b = 4.165 Å, c = 5.757 Å
α = 111.21°, β = 111.21°, γ = 90.00°
Last column: magnetic moment on the atom in μB.
Element x y z (fractional)
Si1 0.373 0.373 0.746  0.00
Si2 0.627 0.627 0.254  0.00
Os1 0.250 0.750 0.500  -0.02
Ir1 0.750 0.250 0.500  -0.01
Ce1 0.000 0.000 0.000  0.36

Calculated values
For the total energy, the calculation gives -8.28 eV per atom. For the total magnetic moment, the calculation gives 0.4 μB/cell. The value obtained for the density of states at the Fermi level is 3.4 states/eV/f.u. Its formation energy without anion corrections is -436 kJ/mol of formula units.

(8)
Below is a geometry-optimized VSiBW2 structure, with properties calculated at the GGA-PBE level.

a = 4.300 Å, b = 3.646 Å, c = 4.300 Å
α = 90.00°, β = 90.00°, γ = 90.00°
Element x y z (fractional)
V1 0.500 0.500 0.500
B1 0.000 0.000 0.000
Si1 0.000 0.500 0.000
W1 0.500 0.000 0.000
W2 0.000 0.000 0.500

Calculated values
For the total energy, the calculation gives -9.03 eV per atom. For the total magnetic moment, the calculation gives 0.0 μB/cell. The value obtained for the density of states at the Fermi level is 2.2 states/eV/f.u. Its formation energy without anion corrections is 190 kJ/mol of formula units.

(9)
Below is a geometry-optimized YMo2 structure, with properties calculated at the GGA-PBE level.

a = 7.318 Å, b = 7.318 Å, c = 4.985 Å
α = 90.00°, β = 90.00°, γ = 153.95°
Element x y z (fractional)
Mo1 0.430 0.570 0.250
Mo2 0.570 0.430 0.750
Mo3 0.936 0.064 0.750
Mo4 0.064 0.936 0.250
Y1 0.263 0.737 0.750
Y2 0.737 0.263 0.250

Calculated values
For the total energy, the calculation gives -8.99 eV per atom. For the total magnetic moment, the calculation gives 0.0 μB/cell. The value obtained for the density of states at the Fermi level is 2.9 states/eV/f.u. The value obtained for the energy of formation is 8.86 kcal/mol of atoms.

(10)
Below is a geometry-optimized Rb3Np6Cl20 structure, with properties calculated at the GGA-PBE level.

a = 10.320 Å, b = 10.320 Å, c = 10.320 Å
α = 60.00°, β = 60.00°, γ = 60.00°
Last column: magnetic moment on the atom in μB.
Element x y z (fractional)
Cl1 0.333 0.000 0.000  -0.03
Cl2 0.000 0.667 0.000  -0.03
Cl3 0.667 0.000 0.000  -0.03
Cl4 0.385 0.385 0.845  -0.03
Cl5 0.000 0.333 0.000  -0.03
Cl6 0.667 0.000 0.333  -0.03
Cl7 0.615 0.615 0.155  -0.03
Cl8 0.000 0.000 0.667  -0.03
Cl9 0.000 0.333 0.667  -0.03
Cl10 0.333 0.667 0.000  -0.03
Cl11 0.385 0.845 0.385  -0.03
Cl12 0.000 0.667 0.333  -0.03
Cl13 0.615 0.615 0.615  -0.03
Cl14 0.667 0.333 0.000  -0.03
Cl15 0.000 0.000 0.333  -0.03
Cl16 0.155 0.615 0.615  -0.03
Cl17 0.333 0.000 0.667  -0.03
Cl18 0.845 0.385 0.385  -0.03
Cl19 0.385 0.385 0.385  -0.03
Cl20 0.615 0.155 0.615  -0.03
Np1 0.267 0.733 0.267  4.10
Np2 0.267 0.733 0.733  4.10
Np3 0.733 0.733 0.267  4.10
Np4 0.733 0.267 0.267  4.10
Np5 0.267 0.267 0.733  4.10
Np6 0.733 0.267 0.733  4.10
Rb1 0.750 0.750 0.750  0.00
Rb2 0.000 0.000 0.000  0.00
Rb3 0.250 0.250 0.250  0.00

Calculated values
For the total energy, the calculation gives -5.77 eV per atom. For the total magnetic moment, the calculation gives 25.0 μB/cell. The value obtained for the density of states at the Fermi level is 63.4 states/eV/f.u. Its formation energy without anion corrections is -4814 kJ/mol of formula units.

Repeat the ninth record exactly.
Below is a geometry-optimized YMo2 structure, with properties calculated at the GGA-PBE level.

a = 7.318 Å, b = 7.318 Å, c = 4.985 Å
α = 90.00°, β = 90.00°, γ = 153.95°
Element x y z (fractional)
Mo1 0.430 0.570 0.250
Mo2 0.570 0.430 0.750
Mo3 0.936 0.064 0.750
Mo4 0.064 0.936 0.250
Y1 0.263 0.737 0.750
Y2 0.737 0.263 0.250

Calculated values
For the total energy, the calculation gives -8.99 eV per atom. For the total magnetic moment, the calculation gives 0.0 μB/cell. The value obtained for the density of states at the Fermi level is 2.9 states/eV/f.u. The value obtained for the energy of formation is 8.86 kcal/mol of atoms.